No. 1
Cs2NbIBr6: optimized geometry, GGA-PBE.

Geometry as CIF:
```
data_Cs2NbIBr6
_chemical_formula_sum 'Cs4 Nb2 I2 Br12'
_cell_length_a 7.290
_cell_length_b 7.290
_cell_length_c 20.308
_cell_angle_alpha 79.66
_cell_angle_beta 79.66
_cell_angle_gamma 60.00
_symmetry_space_group_name_H-M 'P 1'
_symmetry_Int_Tables_number 1
loop_
_symmetry_equiv_pos_as_xyz
'x,y,z'
loop_
_atom_site_label
_atom_site_type_symbol
_atom_site_fract_x
_atom_site_fract_y
_atom_site_fract_z
Cs1 Cs 0.881 0.881 0.356
Cs2 Cs 0.119 0.119 0.644
Cs3 Cs 0.714 0.714 0.858
Cs4 Cs 0.286 0.286 0.142
Nb1 Nb 0.000 0.000 0.000
Nb2 Nb 0.500 0.500 0.500
I1 I 0.584 0.584 0.248
I2 I 0.416 0.416 0.752
Br1 Br 0.852 0.361 0.425
Br2 Br 0.361 0.852 0.425
Br3 Br 0.361 0.361 0.425
Br4 Br 0.148 0.639 0.575
Br5 Br 0.639 0.148 0.575
Br6 Br 0.639 0.639 0.575
Br7 Br 0.696 0.189 0.925
Br8 Br 0.189 0.696 0.925
Br9 Br 0.189 0.189 0.925
Br10 Br 0.304 0.811 0.075
Br11 Br 0.811 0.304 0.075
Br12 Br 0.811 0.811 0.075
```

As for the total DFT energy (no corrections): -3.474 eV per atom. Its calculated volume is 45.713 Å³/atom. The theoretical density is 3.51 Mg/m³. Its density of states at the Fermi level is 0.973 states/eV/f.u.



No. 2
Cs3Ni2IBr9: optimized geometry, GGA-PBE.

Geometry as CIF:
```
data_Cs3Ni2IBr9
_chemical_formula_sum 'Cs3 Ni2 I1 Br9'
_cell_length_a 7.690
_cell_length_b 7.690
_cell_length_c 9.580
_cell_angle_alpha 90.00
_cell_angle_beta 90.00
_cell_angle_gamma 120.00
_symmetry_space_group_name_H-M 'P 1'
_symmetry_Int_Tables_number 1
loop_
_symmetry_equiv_pos_as_xyz
'x,y,z'
loop_
_atom_site_label
_atom_site_type_symbol
_atom_site_fract_x
_atom_site_fract_y
_atom_site_fract_z
Cs1 Cs 0.333 0.667 0.672
Cs2 Cs 0.000 0.000 0.000
Cs3 Cs 0.667 0.333 0.328
Ni1 Ni 0.333 0.667 0.153
Ni2 Ni 0.667 0.333 0.847
I1 I 0.000 0.000 0.500
Br1 Br 0.813 0.187 0.699
Br2 Br 0.813 0.627 0.699
Br3 Br 0.373 0.187 0.699
Br4 Br 0.627 0.813 0.301
Br5 Br 0.187 0.373 0.301
Br6 Br 0.187 0.813 0.301
Br7 Br 0.500 0.000 0.000
Br8 Br 0.000 0.500 0.000
Br9 Br 0.500 0.500 0.000
```

As for the total DFT energy (no corrections): -2.882 eV per atom. Its calculated volume is 32.710 Å³/atom. The theoretical density is 4.61 Mg/m³. Its density of states at the Fermi level is 3.763 states/eV/f.u.



No. 3
Cs2NpI2Br4: optimized geometry, GGA-PBE.

Geometry as CIF:
```
data_Cs2NpI2Br4
_chemical_formula_sum 'Cs2 Np1 I2 Br4'
_cell_length_a 8.277
_cell_length_b 8.277
_cell_length_c 8.277
_cell_angle_alpha 89.85
_cell_angle_beta 120.09
_cell_angle_gamma 120.09
_symmetry_space_group_name_H-M 'P 1'
_symmetry_Int_Tables_number 1
loop_
_symmetry_equiv_pos_as_xyz
'x,y,z'
loop_
_atom_site_label
_atom_site_type_symbol
_atom_site_fract_x
_atom_site_fract_y
_atom_site_fract_z
Cs1 Cs 0.500 0.750 0.250
Cs2 Cs 0.500 0.250 0.750
Np1 Np 0.000 0.000 0.000
I1 I 0.000 0.742 0.742
I2 I 0.000 0.258 0.258
Br1 Br 0.000 0.763 0.237
Br2 Br 0.527 0.763 0.763
Br3 Br 0.000 0.237 0.763
Br4 Br 0.473 0.237 0.237
```

As for the total DFT energy (no corrections): -4.157 eV per atom. Its calculated volume is 44.497 Å³/atom. The theoretical density is 4.46 Mg/m³. Its density of states at the Fermi level is 4.475 states/eV/f.u.



No. 4
CsNpI3Br: optimized geometry, GGA-PBE.

Geometry as CIF:
```
data_CsNpI3Br
_chemical_formula_sum 'Cs2 Np2 I6 Br2'
_cell_length_a 10.367
_cell_length_b 10.367
_cell_length_c 7.776
_cell_angle_alpha 111.83
_cell_angle_beta 111.83
_cell_angle_gamma 46.43
_symmetry_space_group_name_H-M 'P 1'
_symmetry_Int_Tables_number 1
loop_
_symmetry_equiv_pos_as_xyz
'x,y,z'
loop_
_atom_site_label
_atom_site_type_symbol
_atom_site_fract_x
_atom_site_fract_y
_atom_site_fract_z
Cs1 Cs 0.690 0.690 0.661
Cs2 Cs 0.310 0.310 0.339
Np1 Np 0.031 0.031 0.807
Np2 Np 0.969 0.969 0.193
I1 I 0.192 0.192 0.795
I2 I 0.128 0.662 0.838
I3 I 0.662 0.128 0.838
I4 I 0.338 0.872 0.162
I5 I 0.872 0.338 0.162
I6 I 0.808 0.808 0.205
Br1 Br 0.239 0.761 0.500
Br2 Br 0.761 0.239 0.500
```

As for the total DFT energy (no corrections): -4.536 eV per atom. Its calculated volume is 46.147 Å³/atom. The theoretical density is 4.98 Mg/m³. Its density of states at the Fermi level is 6.558 states/eV/f.u.



No. 5
Cs4IBrO: optimized geometry, GGA-PBE.

Geometry as CIF:
```
data_Cs4IBrO
_chemical_formula_sum 'Cs8 I2 Br2 O2'
_cell_length_a 8.644
_cell_length_b 8.147
_cell_length_c 10.779
_cell_angle_alpha 90.00
_cell_angle_beta 108.15
_cell_angle_gamma 90.00
_symmetry_space_group_name_H-M 'P 1'
_symmetry_Int_Tables_number 1
loop_
_symmetry_equiv_pos_as_xyz
'x,y,z'
loop_
_atom_site_label
_atom_site_type_symbol
_atom_site_fract_x
_atom_site_fract_y
_atom_site_fract_z
Cs1 Cs 0.979 0.493 0.736
Cs2 Cs 0.021 0.993 0.264
Cs3 Cs 0.021 0.507 0.264
Cs4 Cs 0.979 0.007 0.736
Cs5 Cs 0.406 0.750 0.149
Cs6 Cs 0.594 0.250 0.851
Cs7 Cs 0.418 0.750 0.564
Cs8 Cs 0.582 0.250 0.436
I1 I 0.738 0.750 0.941
I2 I 0.262 0.250 0.059
Br1 Br 0.772 0.750 0.440
Br2 Br 0.228 0.250 0.560
O1 O 0.233 0.750 0.317
O2 O 0.767 0.250 0.683
```

As for the total DFT energy (no corrections): -3.032 eV per atom. Its calculated volume is 51.527 Å³/atom. The theoretical density is 3.47 Mg/m³.



No. 6
Cs6I2Br2O: optimized geometry, GGA-PBE.

Geometry as CIF:
```
data_Cs6I2Br2O
_chemical_formula_sum 'Cs6 I2 Br2 O1'
_cell_length_a 8.707
_cell_length_b 8.707
_cell_length_c 9.250
_cell_angle_alpha 99.75
_cell_angle_beta 99.75
_cell_angle_gamma 116.92
_symmetry_space_group_name_H-M 'P 1'
_symmetry_Int_Tables_number 1
loop_
_symmetry_equiv_pos_as_xyz
'x,y,z'
loop_
_atom_site_label
_atom_site_type_symbol
_atom_site_fract_x
_atom_site_fract_y
_atom_site_fract_z
Cs1 Cs 0.810 0.810 0.691
Cs2 Cs 0.060 0.355 0.701
Cs3 Cs 0.190 0.190 0.309
Cs4 Cs 0.355 0.060 0.701
Cs5 Cs 0.940 0.645 0.299
Cs6 Cs 0.645 0.940 0.299
I1 I 0.819 0.181 0.000
I2 I 0.181 0.819 0.000
Br1 Br 0.340 0.660 0.500
Br2 Br 0.660 0.340 0.500
O1 O 0.000 0.000 0.500
```

As for the total DFT energy (no corrections): -2.964 eV per atom. Its calculated volume is 53.785 Å³/atom. The theoretical density is 3.44 Mg/m³.